[1]
# Gd2NiRu | the Alexandria database | GGA-PBEsol | relaxed
# E_tot: -11.592 eV/atom
# Energy relative to the elements: -0.285 eV/atom
# Total magnetization: 14.1 μB per formula unit
data_Gd2NiRu
_chemical_formula_sum 'Gd8 Ni4 Ru4'
_symmetry_space_group_name_H-M 'F m -3 m'
_symmetry_Int_Tables_number 225
_symmetry_space_group_name_Hall '-F 4 2 3'
_cell_length_a 6.725
_cell_length_b 6.725
_cell_length_c 6.725
_cell_angle_alpha 90.00
_cell_angle_beta 90.00
_cell_angle_gamma 90.00
loop_
_atom_site_label
_atom_site_fract_x
_atom_site_fract_y
_atom_site_fract_z
_atom_site_occupancy
Gd1 0.250 0.250 0.250 1
Ni1 0.000 0.000 0.000 1
Ru1 0.000 0.000 0.500 1

---

[2]
# YSi2Br | the Alexandria database | GGA-PBEsol | relaxed
# E_tot: -5.492 eV/atom
# Total magnetization: 0.0 μB per formula unit
# Energy relative to the lowest polymorph listed for this composition: 4.7 meV per atom
data_YSi2Br
_chemical_formula_sum 'Y2 Si4 Br2'
_symmetry_space_group_name_H-M 'I m m 2'
_symmetry_Int_Tables_number 44
_symmetry_space_group_name_Hall 'I 2 -2'
_cell_length_a 3.713
_cell_length_b 5.239
_cell_length_c 8.495
_cell_angle_alpha 90.00
_cell_angle_beta 90.00
_cell_angle_gamma 90.00
loop_
_atom_site_label
_atom_site_fract_x
_atom_site_fract_y
_atom_site_fract_z
_atom_site_occupancy
Y1 0.000 0.000 0.000 1
Si1 0.000 0.000 0.570 1
Si2 0.000 0.500 0.231 1
Br1 0.000 0.500 0.792 1